DFT (PBE) results for RbMgCoTe after structural relaxation.

Properties
Mass density ... 4.8 g/cm3
VASP energy ... -10.58 eV for the cell shown
Distance to the lowest polymorph of the same formula ... 73 meV per atom
Total magnetic moment ... 1.61 Bohr magnetons per cell
Symmetry ... F-43m, No. 216

The structure in CIF format:
```
data_RbMgCoTe
_chemical_formula_sum 'Rb1 Mg1 Co1 Te1'
_space_group_name_H-M_alt 'P 1'
_space_group_IT_number 1
_cell_length_a 5.258
_cell_length_b 5.258
_cell_length_c 5.258
_cell_angle_alpha 60.00
_cell_angle_beta 60.00
_cell_angle_gamma 60.00
loop_
_space_group_symop_operation_xyz
'x,y,z'
loop_
_atom_site_label
_atom_site_type_symbol
_atom_site_fract_x
_atom_site_fract_y
_atom_site_fract_z
Rb1 Rb 0.000 0.000 0.000
Mg1 Mg 0.750 0.750 0.750
Co1 Co 0.500 0.500 0.500
Te1 Te 0.250 0.250 0.250
```